No. 1
## Ba2YCoNi (PBE)

Data for a geometry-optimized Ba2YCoNi structure.

Calculated total energy: -3.52 eV/atom
Calculated formation energy: 25.91 kcal/mol of atoms
Space group: P4/mmm
Spin magnetization: 0.39 μB per formula unit
Fermi-level density of states: 8.48 states/eV/f.u.

Unit cell a=6.551 b=6.551 c=4.504 alpha=90.00 beta=90.00 gamma=90.00
Element x y z (fractional)
Ba 0.000 0.500 0.000
Ba 0.500 0.000 0.000
Y 0.000 0.000 0.000
Co 0.000 0.000 0.500
Ni 0.500 0.500 0.500


No. 2
## La2Si3Ni4Rh (PBE)

Data for a geometry-optimized La2Si3Ni4Rh structure.

Calculated total energy: -6.33 eV/atom
Formation energy (no corrections): -669 meV per atom
Space group: P-4m2
Spin magnetization: 0.00 μB per formula unit
Fermi-level density of states: 9.58 states/eV/f.u.

Unit cell a=4.068 b=4.068 c=9.948 alpha=90.00 beta=90.00 gamma=90.00
Element x y z (fractional)
La 0.000 0.500 0.249
La 0.500 0.000 0.751
Si 0.000 0.000 0.000
Si 0.000 0.500 0.617
Si 0.500 0.000 0.383
Ni 0.000 0.000 0.500
Ni 0.000 0.500 0.856
Ni 0.500 0.000 0.144
Ni 0.500 0.500 0.500
Rh 0.500 0.500 0.000


No. 3
## CuSi2Sb (PBE)

Data for a geometry-optimized CuSi2Sb structure.

Calculated total energy: -4.43 eV/atom
Formation energy (no corrections): 335 meV per atom
Space group: C2/m
Spin magnetization: 0.00 μB per formula unit
Fermi-level density of states: 1.04 states/eV/f.u.

Unit cell a=5.171 b=9.915 c=3.726 alpha=90.00 beta=132.38 gamma=90.00
Element x y z (fractional)
Cu 0.000 0.000 0.000
Cu 0.500 0.500 0.000
Si 0.250 0.250 0.500
Si 0.250 0.750 0.500
Si 0.750 0.250 0.500
Si 0.750 0.750 0.500
Sb 0.000 0.500 0.000
Sb 0.500 0.000 0.000


No. 4
## K2Hf2CoS6 (PBE)

Data for a geometry-optimized K2Hf2CoS6 structure.

Calculated total energy: -6.16 eV/atom
Formation energy (no corrections): -1255 meV per atom
Space group: C2/m
Spin magnetization: 0.97 μB per formula unit
Fermi-level density of states: 2.26 states/eV/f.u.

Unit cell a=6.269 b=6.269 c=7.861 alpha=97.71 beta=97.71 gamma=120.16
Element x y z (fractional)
K 0.166 0.834 0.000
K 0.834 0.166 0.000
Hf 0.330 0.670 0.500
Hf 0.670 0.330 0.500
Co 0.000 0.000 0.500
S 0.072 0.393 0.690
S 0.248 0.248 0.324
S 0.393 0.072 0.690
S 0.607 0.928 0.310
S 0.752 0.752 0.676
S 0.928 0.607 0.310


No. 5
## Co2BH (PBE)

Data for a geometry-optimized Co2BH structure.

Calculated total energy: -5.99 eV/atom
Space group: I-42d
Energy above the most stable polymorph in this dataset: 0.000 eV/atom
Spin magnetization: 0.08 μB per formula unit
Fermi-level density of states: 3.14 states/eV/f.u.

Unit cell a=4.855 b=4.855 c=5.040 alpha=90.00 beta=90.00 gamma=90.00
Element x y z (fractional)
Co 0.209 0.250 0.125
Co 0.250 0.709 0.375
Co 0.250 0.791 0.875
Co 0.291 0.250 0.625
Co 0.709 0.750 0.625
Co 0.750 0.209 0.875
Co 0.750 0.291 0.375
Co 0.791 0.750 0.125
B 0.000 0.000 0.500
B 0.000 0.500 0.750
B 0.500 0.000 0.250
B 0.500 0.500 0.000
H 0.000 0.000 0.000
H 0.000 0.500 0.250
H 0.500 0.000 0.750
H 0.500 0.500 0.500


No. 6
## ZrAl2B2 (PBE)

Data for a geometry-optimized ZrAl2B2 structure.

Calculated total energy: -6.15 eV/atom
Calculated formation energy: -6.33 kcal/mol of atoms
Space group: I4/mmm
Energy above the most stable polymorph in this dataset: 0.000 eV/atom
Spin magnetization: 0.00 μB per formula unit
Fermi-level density of states: 1.60 states/eV/f.u.

Unit cell a=3.592 b=3.592 c=9.425 alpha=90.00 beta=90.00 gamma=90.00
Element x y z (fractional)
Zr 0.000 0.000 0.000
Zr 0.500 0.500 0.500
Al 0.000 0.500 0.250
Al 0.000 0.500 0.750
Al 0.500 0.000 0.250
Al 0.500 0.000 0.750
B 0.000 0.000 0.406
B 0.000 0.000 0.594
B 0.500 0.500 0.094
B 0.500 0.500 0.906